Here is AlTlFe2F2 after structural relaxation from the Alexandria database. Energies are from PBE with a Hubbard U.

a = 15.611 Å, b = 5.354 Å, c = 5.242 Å
α = 90.00°, β = 90.09°, γ = 90.00°
Space group C2/c (No. 15)
One atom of each set of equivalent atoms:
Al (0.250, 0.250, 0.000)
Tl (0.000, 0.138, 0.750)
Fe (0.162, 0.192, 0.467)
F (0.145, 0.433, 0.017)

Computed properties:
Energy above the most stable polymorph in this dataset, meV/atom: 0
Calculated volume, Å³/atom: 18.3
Density of states at the Fermi level, states/eV/f.u.: 2.3
Density, g/cm3: 5.78